No. 1
This record from OQMD describes a relaxed structure of Gd3Cd3AgAu2. The functional is PBE.

abc: 7.8851 7.8851 3.8996
angles: 90.00 90.00 120.00
Last column: nearest neighbours and their distance in Å.
Space group P-62m (No. 189)
One atom of each set of equivalent atoms:
Gd 0.0000 0.4079 0.0000 x3  4 Au 3.08, 1 Ag 3.22, 6 Cd 3.26-3.43
Cd 0.0000 0.7391 0.5000 x3  2 Ag 2.83, 2 Au 2.96
Ag 0.0000 0.0000 0.0000 x1  6 Cd 2.83
Au 0.3333 0.6667 0.5000 x2  3 Cd 2.96, 6 Gd 3.08

Calculated formation energy: -0.59 eV per atom
Total DFT energy (no corrections): -3.47 eV per atom
Magnetization: 0.001 μB per atom
Calculated volume: 210.0 Å³/f.u.

No. 2
This record from OQMD describes a relaxed structure of NaDyGe. The functional is PBE.

abc: 6.8916 6.8916 6.8916
angles: 90.00 90.00 90.00
Last column: nearest neighbours and their distance in Å.
Space group F-43m (No. 216)
One atom of each set of equivalent atoms:
Na 0.0000 0.0000 0.0000 x4  4 Ge 2.98
Dy 0.0000 0.0000 0.5000 x4  4 Ge 2.98
Ge 0.2500 0.2500 0.7500 x4  4 Dy 2.98, 4 Na 2.98

Total DFT energy (no corrections): -3.86 eV per atom
Magnetization: 0.000 μB per atom
Calculated volume: 81.8 Å³/f.u.

No. 3
This record from OQMD describes a relaxed structure of Nd3AuSe6. The functional is PBE.

abc: 4.5850 7.1904 8.8932
angles: 91.36 101.96 98.55
Last column: nearest neighbours and their distance in Å.
Space group P-1 (No. 2)
One atom of each set of equivalent atoms:
Nd 0.0000 0.0000 0.0000 x1  6 Se 2.96-2.99
Nd 0.3606 0.4510 0.7238 x2  7 Se 2.96-3.09
Au 0.0000 0.0000 0.5000 x1  4 Se 2.53-2.54
Se 0.1354 0.3117 0.3850 x2  1 Au 2.53
Se 0.2006 0.8310 0.2984 x2  1 Au 2.54
Se 0.4356 0.7330 0.9817 x2  4 Nd 2.96-3.00

Total DFT energy (no corrections): -5.21 eV per atom
Magnetization: 0.001 μB per atom
Calculated volume: 283.2 Å³/f.u.

No. 4
This record from OQMD describes a relaxed structure of Be3Fe2Ni2. The functional is PBE.

abc: 3.6470 3.6470 17.2090
angles: 90.00 90.00 120.00
Last column: nearest neighbours and their distance in Å.
Space group R3m (No. 160, hexagonal axes)
One atom of each set of equivalent atoms:
Be 0.0000 0.0000 0.0000 x3  4 Fe 2.13-2.15, 4 Ni 2.14-2.30
Be 0.0000 0.0000 0.2559 x3  4 Ni 2.25-2.27, 4 Fe 2.27-2.29, 6 Be 2.48-2.49
Be 0.0000 0.0000 0.5132 x3  4 Ni 2.16, 4 Fe 2.20-2.32
Fe 0.0000 0.0000 0.1238 x3  5 Be 2.13-2.32
Fe 0.0000 0.0000 0.6411 x3  7 Be 2.15-2.29
Ni 0.0000 0.0000 0.3877 x3  5 Be 2.16-2.30
Ni 0.0000 0.0000 0.8757 x3  7 Be 2.14-2.25

Total DFT energy (no corrections): -5.61 eV per atom
Magnetization: 0.576 μB per atom
Calculated volume: 66.1 Å³/f.u.

No. 5
This record from OQMD describes a relaxed structure of ScAgSO. The functional is PBE.

abc: 5.2725 5.2725 9.0084
angles: 90.00 90.00 90.00
Last column: nearest neighbours and their distance in Å.
Space group P4bm (No. 100)
One atom of each set of equivalent atoms:
Sc 0.0000 0.0000 0.0000 x2  4 O 2.12
Sc 0.0000 0.5000 0.2207 x2  4 O 2.10-2.11
Ag 0.1877 0.3123 0.6034 x4  3 S 2.52-2.68, 5 Ag 2.72-2.80
S 0.0000 0.0000 0.3956 x2  4 Ag 2.68
S 0.0000 0.5000 0.8364 x2  2 Ag 2.52
O 0.2489 0.2511 0.1128 x4  4 Sc 2.10-2.12

Total DFT energy (no corrections): -6.32 eV per atom
Magnetization: 0.000 μB per atom
Calculated volume: 62.6 Å³/f.u.

No. 6
This record from OQMD describes a relaxed structure of HoZnOs. The functional is PBE.

abc: 6.4572 6.4572 6.4572
angles: 90.00 90.00 90.00
Last column: nearest neighbours and their distance in Å.
Space group F-43m (No. 216)
One atom of each set of equivalent atoms:
Ho 0.0000 0.0000 0.0000 x4  4 Os 2.80, 4 Zn 2.80
Zn 0.2500 0.2500 0.2500 x4  4 Ho 2.80
Os 0.2500 0.2500 0.7500 x4  4 Ho 2.80

Calculated formation energy: 0.82 eV per atom
Total DFT energy (no corrections): -4.87 eV per atom
Magnetization: 0.000 μB per atom
Calculated volume: 67.3 Å³/f.u.

What did the first record say?
This record from OQMD describes a relaxed structure of Gd3Cd3AgAu2. The functional is PBE.

abc: 7.8851 7.8851 3.8996
angles: 90.00 90.00 120.00
Last column: nearest neighbours and their distance in Å.
Space group P-62m (No. 189)
One atom of each set of equivalent atoms:
Gd 0.0000 0.4079 0.0000 x3  4 Au 3.08, 1 Ag 3.22, 6 Cd 3.26-3.43
Cd 0.0000 0.7391 0.5000 x3  2 Ag 2.83, 2 Au 2.96
Ag 0.0000 0.0000 0.0000 x1  6 Cd 2.83
Au 0.3333 0.6667 0.5000 x2  3 Cd 2.96, 6 Gd 3.08

Calculated formation energy: -0.59 eV per atom
Total DFT energy (no corrections): -3.47 eV per atom
Magnetization: 0.001 μB per atom
Calculated volume: 210.0 Å³/f.u.